A plane-wave DFT calculation with PBE-GGA was carried out for LaAlRh2 after structural relaxation.

abc: 4.7542 4.7542 4.7542
angles: 60.00 60.00 60.00
Fractional positions:
Rh  0.0000  0.0000  0.0000
Rh  0.2500  0.2500  0.2500
La  0.7500  0.7500  0.7500
Al  0.5000  0.5000  0.5000

Summary:
ΔE_f, eV/atom: -0.1807
Density, g cm⁻³: 8.1
E, eV per cell: -24.10